ErAgO2: relaxed, PBE.

Spin magnetization: 0.00 Bohr magnetons per cell
Uncorrected energy: -0.23741 hartree per atom
Formation energy from raw total energies: -2127.6 meV/atom

Cell and atoms, written as extended XYZ:
```
4
Lattice="3.409 0.000 0.000 1.705 2.953 0.000 1.705 0.984 5.832" Properties=species:S:1:pos:R:3 pbc="T T T"
O 1.705 0.984 4.675
O 1.705 0.984 1.091
Er 5.114 2.953 5.809
Ag 3.409 1.968 3.007
```